Record 1
Below is a geometry-optimized TlReIr2 structure, with properties calculated at the PBE-GGA level.

Results
Electronic total energy = -7.600 eV/atom
Spin magnetization = 0.00 μB per formula unit
SG = C2/m, No. 12
ΔE_f = 206.1 kJ/mol of formula units

Unit cell a=4.845 b=4.845 c=5.035 alpha=82.43 beta=82.43 gamma=34.21
Fractional coordinates of all 4 atoms:
Ir1 0.993 0.993 0.025
Ir2 0.507 0.507 0.475
Re1 0.250 0.250 0.250
Tl1 0.750 0.750 0.750

---

Record 2
Below is a geometry-optimized TlReIr2 structure, with properties calculated at the PBE-GGA level.

Results
Electronic total energy = -7.943 eV/atom
Spin magnetization = 0.00 μB per formula unit
SG = P4/mmm, No. 123
ΔE_f = 73.8 kJ/mol of formula units

Unit cell a=2.859 b=2.859 c=8.114 alpha=90.00 beta=90.00 gamma=89.99
Fractional coordinates of all 4 atoms:
Ir1 0.000 0.000 0.030
Ir2 0.000 0.000 0.470
Re1 0.500 0.500 0.250
Tl1 0.500 0.500 0.750

---

Record 3
Below is a geometry-optimized TlRe2Ir structure, with properties calculated at the PBE-GGA level.

Results
Electronic total energy = -8.397 eV/atom
Spin magnetization = 0.00 μB per formula unit
SG = Cm, No. 8
ΔE_f = 244.6 kJ/mol of formula units

Unit cell a=4.854 b=4.854 c=5.102 alpha=79.59 beta=79.59 gamma=34.89
Fractional coordinates of all 4 atoms:
Ir1 0.264 0.264 0.233
Re1 0.000 0.000 0.971
Re2 0.735 0.735 0.810
Tl1 0.501 0.501 0.486

---

Record 4
Below is a geometry-optimized TlReIr2 structure, with properties calculated at the PBE-GGA level.

Results
Electronic total energy = -7.316 eV/atom
Spin magnetization = 2.62 μB per formula unit
SG = Fm-3m, No. 225
ΔE_f = 315.6 kJ/mol of formula units

Unit cell a=4.573 b=4.573 c=4.573 alpha=60.00 beta=60.00 gamma=60.00
Site moments in Bohr magnetons follow the coordinates.
Fractional coordinates of all 4 atoms:
Re1 0.000 0.000 0.000  1.59
Tl1 0.500 0.500 0.500  0.01
Ir1 0.250 0.250 0.250  0.41
Ir2 0.750 0.750 0.750  0.41